# PBE Tb4Ga12Fe, optimized geometry
# **Formation enthalpy at 0 K**: -12.5 kcal/mol of atoms
data_Tb4Ga12Fe
_chemical_formula_sum 'Tb8 Ga24 Fe2'
_symmetry_space_group_name_H-M 'I m -3 m'
_symmetry_Int_Tables_number 229
_symmetry_space_group_name_Hall '-I 4 2 3'
_cell_length_a 8.603
_cell_length_b 8.603
_cell_length_c 8.603
_cell_angle_alpha 90.00
_cell_angle_beta 90.00
_cell_angle_gamma 90.00
loop_
_atom_site_label
_atom_site_fract_x
_atom_site_fract_y
_atom_site_fract_z
Tb1 0.250 0.250 0.250
Ga1 0.000 0.000 0.285
Ga2 0.000 0.250 0.500
Fe1 0.000 0.000 0.000

---

# PBE InSn2Ge2, optimized geometry
# **Formation enthalpy at 0 K**: 3.3 kcal/mol of atoms
# **Energy above the most stable polymorph in this dataset**: 0.0 meV per atom
data_InSn2Ge2
_chemical_formula_sum 'In2 Sn4 Ge4'
_symmetry_space_group_name_H-M 'I 4/m m m'
_symmetry_Int_Tables_number 139
_symmetry_space_group_name_Hall '-I 4 2'
_cell_length_a 5.219
_cell_length_b 5.219
_cell_length_c 9.667
_cell_angle_alpha 90.00
_cell_angle_beta 90.00
_cell_angle_gamma 90.00
loop_
_atom_site_label
_atom_site_fract_x
_atom_site_fract_y
_atom_site_fract_z
In1 0.000 0.000 0.000
Sn1 0.000 0.500 0.250
Ge1 0.000 0.000 0.370

---

# PBE PaCrH4, optimized geometry
# **Energy above the most stable polymorph in this dataset**: 94.6 meV per atom
data_PaCrH4
_chemical_formula_sum 'Pa1 Cr1 H4'
_symmetry_space_group_name_H-M 'P 4/m m m'
_symmetry_Int_Tables_number 123
_symmetry_space_group_name_Hall '-P 4 2'
_cell_length_a 3.106
_cell_length_b 3.106
_cell_length_c 5.036
_cell_angle_alpha 90.00
_cell_angle_beta 90.00
_cell_angle_gamma 90.00
loop_
_atom_site_label
_atom_site_fract_x
_atom_site_fract_y
_atom_site_fract_z
Pa1 0.000 0.000 0.000
Cr1 0.500 0.500 0.500
H1 0.000 0.500 0.321

---

# PBE Sn2SbPb8, optimized geometry
# **Energy relative to the elements, uncorrected**: 37 meV/atom
# **Energy above the most stable polymorph in this dataset**: 0.0 meV per atom
data_Sn2SbPb8
_chemical_formula_sum 'Sn4 Sb2 Pb16'
_symmetry_space_group_name_H-M 'C 1 2/m 1'
_symmetry_Int_Tables_number 12
_cell_length_a 17.659
_cell_length_b 5.114
_cell_length_c 7.791
_cell_angle_alpha 90.00
_cell_angle_beta 106.25
_cell_angle_gamma 90.00
loop_
_symmetry_equiv_pos_as_xyz
'x,y,z'
'-x,-y,-z'
'-x,y,-z'
'x,-y,z'
'x+1/2,y+1/2,z'
'-x+1/2,-y+1/2,-z'
'-x+1/2,y+1/2,-z'
'x+1/2,-y+1/2,z'
loop_
_atom_site_label
_atom_site_fract_x
_atom_site_fract_y
_atom_site_fract_z
Sn1 0.229 0.000 0.135
Sb1 0.000 0.500 0.500
Pb1 0.047 0.000 0.230
Pb2 0.094 0.500 0.952
Pb3 0.136 0.000 0.684
Pb4 0.182 0.500 0.413

---

no.,DOS(E_F) (states/eV/cell)
1,14.91
2,4.50
3,3.08
4,12.27